Entry 1:
First-principles (PBE-GGA) data for CrNiRh2 after structural relaxation, as listed in Alexandria.

a = 4.629 Å, b = 5.269 Å, c = 8.409 Å
α = 90.00°, β = 89.59°, γ = 90.00°
Sites, in units of the cell vectors:
1 Rh 0.099 0.868 0.129
2 Cr 0.078 0.383 0.624
3 Rh 0.901 0.132 0.871
4 Ni 0.581 0.127 0.129
5 Cr 0.922 0.617 0.376
6 Cr 0.422 0.883 0.376
7 Rh 0.401 0.368 0.871
8 Ni 0.419 0.873 0.871
9 Rh 0.599 0.632 0.129
10 Cr 0.578 0.117 0.624
11 Rh 0.909 0.125 0.380
12 Rh 0.091 0.875 0.620
13 Rh 0.409 0.375 0.380
14 Ni 0.919 0.627 0.871
15 Rh 0.591 0.625 0.620
16 Ni 0.081 0.373 0.129

Values from the calculation:
Its symmetry is No. 14. The size of the total moment is 0.000 μB/f.u.

Entry 2:
First-principles (PBE-GGA) data for CrNiRh2 after structural relaxation, as listed in Alexandria.

a = 4.247 Å, b = 4.247 Å, c = 4.245 Å
α = 59.99°, β = 59.99°, γ = 60.00°
Site moments in Bohr magnetons follow the coordinates.
Sites, in units of the cell vectors:
1 Rh 0.250 0.250 0.250  -0.29
2 Rh 0.000 0.000 0.000  -0.49
3 Cr 0.500 0.500 0.500  2.57
4 Ni 0.750 0.750 0.751  0.01

Values from the calculation:
Its symmetry is No. 216. The size of the total moment is 1.968 μB/f.u.

Entry 3:
First-principles (PBE-GGA) data for CrNiRh2 after structural relaxation, as listed in Alexandria.

a = 3.998 Å, b = 2.671 Å, c = 5.002 Å
α = 74.53°, β = 90.00°, γ = 90.00°
Site moments in Bohr magnetons follow the coordinates.
Sites, in units of the cell vectors:
1 Cr 0.000 0.692 0.491  0.69
2 Ni 0.500 0.558 0.758  -0.09
3 Rh 0.500 0.292 0.290  -0.11
4 Rh 0.000 0.958 0.960  -0.08

Values from the calculation:
Its symmetry is No. 38. The size of the total moment is 0.445 μB/f.u.

Entry 4:
First-principles (PBE-GGA) data for CrNi5Rh after structural relaxation, as listed in Alexandria.

a = 4.351 Å, b = 4.351 Å, c = 4.981 Å
α = 90.00°, β = 90.00°, γ = 110.45°
Site moments in Bohr magnetons follow the coordinates.
Sites, in units of the cell vectors:
1 Ni 0.000 0.500 0.751  -0.19
2 Rh 0.000 0.000 0.000  -0.08
3 Ni 0.500 0.000 0.249  -0.19
4 Ni 0.000 0.500 0.249  -0.19
5 Ni 0.000 0.000 0.500  0.07
6 Ni 0.500 0.000 0.751  -0.19
7 Cr 0.500 0.500 0.500  2.53

Values from the calculation:
Its symmetry is No. 65. The size of the total moment is 1.979 μB/f.u.

Entry 5:
First-principles (PBE-GGA) data for CrNiRh2 after structural relaxation, as listed in Alexandria.

a = 2.654 Å, b = 3.690 Å, c = 5.257 Å
α = 90.00°, β = 90.00°, γ = 90.00°
Site moments in Bohr magnetons follow the coordinates.
Sites, in units of the cell vectors:
1 Ni 0.500 0.500 0.743  -0.22
2 Rh 0.500 0.500 0.265  -0.15
3 Cr 0.000 0.000 0.513  0.85
4 Rh 0.000 0.000 0.979  -0.17

Values from the calculation:
Its symmetry is No. 25. The size of the total moment is 0.356 μB/f.u.

Entry 6:
First-principles (PBE-GGA) data for CrNi5Rh2 after structural relaxation, as listed in Alexandria.

a = 3.665 Å, b = 3.665 Å, c = 7.589 Å
α = 103.97°, β = 103.97°, γ = 90.00°
Site moments in Bohr magnetons follow the coordinates.
Sites, in units of the cell vectors:
1 Ni 0.381 0.881 0.762  -0.23
2 Ni 0.881 0.381 0.762  -0.23
3 Ni 0.500 0.500 0.000  -0.16
4 Rh 0.747 0.747 0.494  -0.42
5 Rh 0.253 0.253 0.506  -0.42
6 Ni 0.119 0.619 0.238  -0.23
7 Ni 0.619 0.119 0.238  -0.23
8 Cr 0.000 0.000 0.000  2.09

Values from the calculation:
Its symmetry is No. 139. Its offset from the most stable computed form is 46 meV/atom. The size of the total moment is 0.345 μB/f.u.

Entry 7:
First-principles (PBE-GGA) data for Cr2Ni2Rh after structural relaxation, as listed in Alexandria.

a = 6.739 Å, b = 6.739 Å, c = 2.646 Å
α = 90.00°, β = 90.00°, γ = 90.00°
Site moments in Bohr magnetons follow the coordinates.
Sites, in units of the cell vectors:
1 Cr 0.674 0.826 0.500  0.66
2 Rh 0.500 0.500 0.000  0.01
3 Ni 0.124 0.376 0.000  0.07
4 Ni 0.876 0.624 0.000  0.07
5 Ni 0.624 0.124 0.000  0.09
6 Rh 0.000 0.000 0.000  0.01
7 Cr 0.326 0.174 0.500  0.66
8 Ni 0.376 0.876 0.000  0.09
9 Cr 0.174 0.674 0.500  0.63
10 Cr 0.826 0.326 0.500  0.63

Values from the calculation:
Its symmetry is No. 127. Its offset from the most stable computed form is 84 meV/atom. The size of the total moment is 1.482 μB/f.u.

Entry 8:
First-principles (PBE-GGA) data for Cr2Ni2Rh after structural relaxation, as listed in Alexandria.

a = 3.602 Å, b = 4.481 Å, c = 9.153 Å
α = 61.44°, β = 78.65°, γ = 66.30°
Site moments in Bohr magnetons follow the coordinates.
Sites, in units of the cell vectors:
1 Rh 0.250 0.750 0.250  0.02
2 Cr 0.449 0.754 0.847  0.29
3 Cr 0.949 0.254 0.347  0.29
4 Ni 0.645 0.761 0.449  0.06
5 Rh 0.750 0.250 0.750  0.02
6 Ni 0.855 0.739 0.051  0.06
7 Ni 0.145 0.261 0.949  0.06
8 Cr 0.551 0.246 0.153  0.29
9 Ni 0.355 0.239 0.551  0.06
10 Cr 0.051 0.746 0.653  0.29

Values from the calculation:
Its symmetry is No. 12. Its offset from the most stable computed form is 0 meV/atom. The size of the total moment is 0.752 μB/f.u.

no.,ΔH_f (0 K) (eV per atom)
1,-0.04
2,0.21
3,0.00
4,0.19
5,-0.01
6,0.04
7,0.13
8,0.05